# LaBeOs2 PBE-GGA relaxed
# - Raw total energy: -28.51 eV/f.u.
# - Crystal system: tetragonal
# - Calculated formation energy: 2.60 eV per formula unit
# - Volume: 17.2 Å³ per atom
# - M_tot: 0.61 μB/cell
data_LaBeOs2
_cell_length_a 4.083
_cell_length_b 4.083
_cell_length_c 4.129
_cell_angle_alpha 90.00
_cell_angle_beta 90.00
_cell_angle_gamma 90.00
_symmetry_space_group_name_H-M 'P 4/m m m'
_symmetry_Int_Tables_number 123
_symmetry_space_group_name_Hall '-P 4 2'
loop_
_atom_site_label
_atom_site_type_symbol
_atom_site_fract_x
_atom_site_fract_y
_atom_site_fract_z
La1 La 0.000 0.000 0.000
Be1 Be 0.500 0.500 0.000
Os1 Os 0.000 0.500 0.500

# LaBeOs2 PBE-GGA relaxed
# - Raw total energy: -28.32 eV/f.u.
# - Crystal system: orthorhombic
# - Calculated formation energy: 2.79 eV per formula unit
# - Volume: 17.1 Å³ per atom
# - M_tot: 0.00 μB/cell
data_LaBeOs2
_cell_length_a 3.039
_cell_length_b 4.589
_cell_length_c 4.917
_cell_angle_alpha 90.00
_cell_angle_beta 90.00
_cell_angle_gamma 90.00
_symmetry_space_group_name_H-M 'P m m m'
_symmetry_Int_Tables_number 47
_symmetry_space_group_name_Hall '-P 2 2'
loop_
_atom_site_label
_atom_site_type_symbol
_atom_site_fract_x
_atom_site_fract_y
_atom_site_fract_z
La1 La 0.000 0.000 0.000
Be1 Be 0.500 0.000 0.500
Os1 Os 0.000 0.500 0.500
Os2 Os 0.500 0.500 0.000